The following is a PBE calculation of a relaxed structure of TlSnRuPb2, from Alexandria via LeMat-Bulk.

DOS at the Fermi energy = 7.33 states/eV/cell
SG = P4/mmm (123)
Raw total energy = -3.1346 eV per atom
Total magnetic moment = 2.5 μB per formula unit
Energy of formation = 1478 meV per atom
Calculated volume = 185.6 Å³/f.u.

a = 5.7671 Å, b = 5.7671 Å, c = 5.5813 Å
α = 90.00°, β = 90.00°, γ = 90.00°
With the nearest neighbours (Å) after each atom.
Fractional coordinates of all 5 atoms:
Tl 0.0000 0.0000 0.0000  2 Sn 2.79, 4 Pb 2.88
Sn 0.0000 0.0000 0.5000  2 Tl 2.79
Ru 0.5000 0.5000 0.5000  8 Pb 4.01, 4 Sn 4.08
Pb 0.0000 0.5000 0.0000  2 Tl 2.88
Pb 0.5000 0.0000 0.0000  2 Tl 2.88